[1]
# GGA-PBE Ba2InRe, optimized geometry
# calculated total energy = -3.9947 eV/atom
# total moment = 0.348 μB per atom
# formation energy = 0.76 eV per atom
data_Ba2InRe
_space_group_name_H-M_alt 'P 1'
_space_group_IT_number 1
_space_group_name_Hall 'P 1'
_cell_length_a 3.557
_cell_length_b 3.558
_cell_length_c 10.661
_cell_angle_alpha 70.59
_cell_angle_beta 90.00
_cell_angle_gamma 90.00
loop_
_atom_site_label
_atom_site_fract_x
_atom_site_fract_y
_atom_site_fract_z
Ba1 0.000 0.033 0.965
Ba2 0.000 0.467 0.535
In1 0.500 0.250 0.250
Re1 0.500 0.750 0.750

---

[2]
# GGA-PBE Be4Cd5, optimized geometry
# calculated total energy = -1.6385 eV/atom
# total moment = 0.000 μB per atom
# distance to the lowest polymorph of the same formula = 91.4 meV per atom
# formation energy = 0.53 eV per atom
data_Be4Cd5
_space_group_name_H-M_alt 'P 1'
_space_group_IT_number 1
_space_group_name_Hall 'P 1'
_cell_length_a 7.616
_cell_length_b 7.616
_cell_length_c 5.791
_cell_angle_alpha 90.00
_cell_angle_beta 90.00
_cell_angle_gamma 120.00
loop_
_atom_site_label
_atom_site_fract_x
_atom_site_fract_y
_atom_site_fract_z
Be1 0.000 0.000 0.000
Be2 0.000 0.000 0.500
Be3 0.000 0.348 0.250
Be4 0.652 0.652 0.250
Be5 0.348 0.000 0.250
Be6 0.000 0.652 0.750
Be7 0.348 0.348 0.750
Be8 0.652 0.000 0.750
Cd1 0.000 0.700 0.250
Cd2 0.300 0.300 0.250
Cd3 0.700 0.000 0.250
Cd4 0.000 0.300 0.750
Cd5 0.700 0.700 0.750
Cd6 0.300 0.000 0.750
Cd7 0.667 0.333 0.000
Cd8 0.333 0.667 0.500
Cd9 0.333 0.667 0.000
Cd10 0.667 0.333 0.500

---

[3]
# GGA-PBE CsHg2Cl2, optimized geometry
# uncorrected formation energy = -4.00 eV/f.u.
# calculated total energy = -1.8297 eV/atom
# total moment = 0.000 μB per atom
# distance to the lowest polymorph of the same formula = 35.5 meV per atom
data_CsHg2Cl2
_space_group_name_H-M_alt 'P 1'
_space_group_IT_number 1
_space_group_name_Hall 'P 1'
_cell_length_a 9.453
_cell_length_b 9.453
_cell_length_c 5.228
_cell_angle_alpha 90.00
_cell_angle_beta 90.00
_cell_angle_gamma 90.00
loop_
_atom_site_label
_atom_site_fract_x
_atom_site_fract_y
_atom_site_fract_z
Cs1 0.000 0.000 0.000
Cs2 0.500 0.500 0.000
Hg1 0.106 0.606 0.500
Hg2 0.606 0.894 0.500
Hg3 0.894 0.394 0.500
Hg4 0.394 0.106 0.500
Cl1 0.197 0.697 0.000
Cl2 0.697 0.803 0.000
Cl3 0.803 0.303 0.000
Cl4 0.303 0.197 0.000

---

Repeat the first record exactly.
# GGA-PBE Ba2InRe, optimized geometry
# calculated total energy = -3.9947 eV/atom
# total moment = 0.348 μB per atom
# formation energy = 0.76 eV per atom
data_Ba2InRe
_space_group_name_H-M_alt 'P 1'
_space_group_IT_number 1
_space_group_name_Hall 'P 1'
_cell_length_a 3.557
_cell_length_b 3.558
_cell_length_c 10.661
_cell_angle_alpha 70.59
_cell_angle_beta 90.00
_cell_angle_gamma 90.00
loop_
_atom_site_label
_atom_site_fract_x
_atom_site_fract_y
_atom_site_fract_z
Ba1 0.000 0.033 0.965
Ba2 0.000 0.467 0.535
In1 0.500 0.250 0.250
Re1 0.500 0.750 0.750

---

What is the total moment in the second record?
0.000 μB per atom